Entry 1:
Mg2SbCl | PBE | relaxed

Results
formation energy without anion corrections = -723 meV per atom
total energy = -12.1 eV for the cell shown
symmetry = C2/m
D(E_F) = 0.5 states/eV/f.u.
ΔE to the lowest computed polymorph = 18 meV/atom

Lattice parameters (Å, degrees): 4.4920 4.4920 7.6704 62.87 62.87 52.88
Positions (direct):
Mg 0.4585 0.4585 0.4589
Cl 0.7500 0.7500 0.7500
Mg 0.0415 0.0415 0.0411
Sb 0.2500 0.2500 0.2500


Entry 2:
NaLuO2 | PBE | relaxed

Results
formation energy without anion corrections = -2891 meV per atom
total energy = -109.3 eV for the cell shown
symmetry = C2/c
D(E_F) = 0.0 states/eV/f.u.
ΔE to the lowest computed polymorph = 7 meV/atom

Lattice parameters (Å, degrees): 7.2644 7.2644 5.8106 75.92 75.92 126.31
Positions (direct):
Na 0.6801 0.3199 0.2500
O 0.2651 0.1378 0.2950
O 0.1378 0.2651 0.7950
O 0.5835 0.9596 0.2074
O 0.7349 0.8622 0.7050
Lu 0.9330 0.0670 0.2500
Na 0.3199 0.6801 0.7500
O 0.9596 0.5835 0.7074
Lu 0.1934 0.8066 0.2500
O 0.4165 0.0404 0.7926
Na 0.5557 0.4443 0.7500
Na 0.4443 0.5557 0.2500
Lu 0.8066 0.1934 0.7500
O 0.0404 0.4165 0.2926
Lu 0.0670 0.9330 0.7500
O 0.8622 0.7349 0.2050


Entry 3:
Ac2InBi | PBE | relaxed

Results
total energy = -35.2 eV for the cell shown
symmetry = Cmcm
D(E_F) = 2.6 states/eV/f.u.
E_form = -690 meV per atom
ΔE to the lowest computed polymorph = 0 meV/atom

Lattice parameters (Å, degrees): 4.7868 4.9683 13.4822 100.62 90.00 90.00
Positions (direct):
Ac 0.7500 0.6823 0.3646
Ac 0.2500 0.3177 0.6354
Ac 0.2500 0.0621 0.1241
In 0.2500 0.4627 0.9253
Bi 0.2500 0.1889 0.3777
Bi 0.7500 0.8111 0.6222
Ac 0.7500 0.9379 0.8759
In 0.7500 0.5373 0.0747


Entry 4:
Be2CrNi | PBE | relaxed

Results
total energy = -42.9 eV for the cell shown
symmetry = I-42d
D(E_F) = 3.1 states/eV/f.u.
E_form = 348 meV per atom

Lattice parameters (Å, degrees): 5.8851 5.8851 4.7791 52.00 52.00 90.00
Positions (direct):
Be 0.8750 0.8914 0.7500
Cr 0.2500 0.7500 0.5000
Be 0.3750 0.3586 0.7500
Be 0.1086 0.6250 0.2500
Ni 0.7500 0.2500 0.5000
Ni 0.0000 0.0000 0.0000
Be 0.6414 0.1250 0.2500
Cr 0.5000 0.5000 0.0000


Entry 5:
Al2AgSb | PBE | relaxed

Results
formation energy without anion corrections = 139 meV per atom
total energy = -13.9 eV for the cell shown
symmetry = R3m
D(E_F) = 1.4 states/eV/f.u.

Lattice parameters (Å, degrees): 9.4634 9.4634 9.4634 19.40 19.40 19.40
Positions (direct):
Al 0.9989 0.9989 0.9989
Sb 0.5062 0.5062 0.5062
Al 0.2569 0.2569 0.2569
Ag 0.7380 0.7380 0.7380


Entry 6:
CeTa4MnN8 | PBE | relaxed

Results
formation energy without anion corrections = -896 meV per atom
total energy = -141.7 eV for the cell shown
symmetry = R3m
D(E_F) = 6.7 states/eV/f.u.

Lattice parameters (Å, degrees): 6.2164 6.2164 6.5179 61.52 61.52 60.00
Positions (direct):
Ta 0.0033 0.0033 0.5063
N 0.7781 0.2552 0.7116
N 0.7408 0.7408 0.2752
Ta 0.4872 0.0033 0.5063
N 0.2552 0.7781 0.7116
Ta 0.6248 0.6248 0.1256
N 0.7408 0.2431 0.2752
Ta 0.0033 0.4872 0.5063
N 0.2431 0.7408 0.2752
N 0.2397 0.2397 0.2808
N 0.7551 0.7551 0.7348
Ce 0.9997 0.9997 0.0010
N 0.2552 0.2552 0.7116
Mn 0.3738 0.3738 0.8785


Entry 7:
Y2CoSe | PBE | relaxed

Results
formation energy without anion corrections = -661 meV per atom
total energy = -26.2 eV for the cell shown
symmetry = R3m
D(E_F) = 4.6 states/eV/f.u.

Lattice parameters (Å, degrees): 7.1411 7.1411 7.1411 32.37 32.37 32.37
Positions (direct):
Se 0.7975 0.7975 0.7975
Co 0.4484 0.4484 0.4484
Y 0.2201 0.2201 0.2201
Y 0.0339 0.0339 0.0339


Entry 8:
Cs2GaF6 | PBE | relaxed

Results
formation energy without anion corrections = -2463 meV per atom
total energy = -38.1 eV for the cell shown
symmetry = Fm-3m
D(E_F) = 10.3 states/eV/f.u.

Lattice parameters (Å, degrees): 6.4503 6.4503 6.4503 60.00 60.00 60.00
Positions (direct):
F 0.2100 0.7900 0.2100
Cs 0.2500 0.2500 0.2500
F 0.2100 0.2100 0.7900
Ga 0.0000 0.0000 0.0000
F 0.2100 0.7900 0.7900
Cs 0.7500 0.7500 0.7500
F 0.7900 0.7900 0.2100
F 0.7900 0.2100 0.2100
F 0.7900 0.2100 0.7900


Entry 9:
K5CuAgO2 | PBE | relaxed

Results
formation energy without anion corrections = -698 meV per atom
total energy = -28.6 eV for the cell shown
symmetry = P4/mmm
D(E_F) = 3.0 states/eV/f.u.

Lattice parameters (Å, degrees): 5.4818 5.4818 9.0526 90.00 90.00 90.00
Positions (direct):
Cu 0.0000 0.0000 0.0000
K 0.0000 0.5000 0.7837
Ag 0.5000 0.5000 0.5000
K 0.0000 0.5000 0.2163
K 0.0000 0.0000 0.5000
O 0.0000 0.0000 0.7985
K 0.5000 0.0000 0.2163
O 0.0000 0.0000 0.2015
K 0.5000 0.0000 0.7837


Entry 10:
TiSe2I | PBE | relaxed

Results
formation energy without anion corrections = -756 meV per atom
total energy = -19.4 eV for the cell shown
symmetry = Cm
D(E_F) = 1.5 states/eV/f.u.
ΔE to the lowest computed polymorph = 0 meV/atom

Lattice parameters (Å, degrees): 3.5010 3.5013 11.5250 89.93 89.93 59.58
Positions (direct):
Se 0.5315 0.5316 0.1873
I 0.5330 0.5330 0.8005
Se 0.8655 0.8655 0.4602
Ti 0.1983 0.1984 0.3240


Entry 11:
PrSc5Co4 | PBE | relaxed

Results
total energy = -67.6 eV for the cell shown
symmetry = P4/mmm
D(E_F) = 4.8 states/eV/f.u.
E_form = -277 meV per atom

Lattice parameters (Å, degrees): 3.1629 3.1629 17.9741 90.00 90.00 90.00
Positions (direct):
Sc 0.5000 0.5000 0.1573
Co 0.0000 0.0000 0.2385
Sc 0.5000 0.5000 0.3279
Co 0.0000 0.0000 0.7615
Co 0.0000 0.0000 0.4135
Co 0.0000 0.0000 0.5865
Sc 0.5000 0.5000 0.5000
Sc 0.5000 0.5000 0.6721
Pr 0.0000 0.0000 0.0000
Sc 0.5000 0.5000 0.8427


Entry 12:
Ba4ZrCd | PBE | relaxed

Results
total energy = -12.8 eV for the cell shown
symmetry = F-43m
D(E_F) = 12.4 states/eV/f.u.
E_form = 724 meV per atom

Lattice parameters (Å, degrees): 7.2705 7.2705 7.2705 60.00 60.00 60.00
Positions (direct):
Zr 0.0000 0.0000 0.0000
Cd 0.7500 0.7500 0.7500
Ba 0.3747 0.8760 0.3747
Ba 0.3747 0.3747 0.8760
Ba 0.8760 0.3747 0.3747
Ba 0.3747 0.3747 0.3747


What did the sixth record say?
CeTa4MnN8 | PBE | relaxed

Results
formation energy without anion corrections = -896 meV per atom
total energy = -141.7 eV for the cell shown
symmetry = R3m
D(E_F) = 6.7 states/eV/f.u.

Lattice parameters (Å, degrees): 6.2164 6.2164 6.5179 61.52 61.52 60.00
Positions (direct):
Ta 0.0033 0.0033 0.5063
N 0.7781 0.2552 0.7116
N 0.7408 0.7408 0.2752
Ta 0.4872 0.0033 0.5063
N 0.2552 0.7781 0.7116
Ta 0.6248 0.6248 0.1256
N 0.7408 0.2431 0.2752
Ta 0.0033 0.4872 0.5063
N 0.2431 0.7408 0.2752
N 0.2397 0.2397 0.2808
N 0.7551 0.7551 0.7348
Ce 0.9997 0.9997 0.0010
N 0.2552 0.2552 0.7116
Mn 0.3738 0.3738 0.8785